Entry 1:
The following is a DFT calculation (PBE-GGA) of ScSiTe4 after structural relaxation.

Calculated values
* space group: P-42c, No. 112
* distance to the lowest polymorph of the same formula: 0.000 eV/atom

Unit cell a=6.8970 b=6.8970 c=9.0312 alpha=90.00 beta=90.00 gamma=90.00
Last column: nearest neighbours and their distance in Å.
Atoms (fractional coordinates):
Sc 0.0000 0.0000 0.0000  4 Te 2.81
Sc 0.0000 0.0000 0.5000  4 Te 2.81
Si 0.0000 0.5000 0.2500  4 Te 2.54
Si 0.5000 0.0000 0.7500  4 Te 2.54
Te 0.2838 0.2463 0.8794  1 Si 2.54, 1 Sc 2.81
Te 0.7162 0.7537 0.8794  1 Si 2.54, 1 Sc 2.81
Te 0.2463 0.2838 0.3794  1 Si 2.54, 1 Sc 2.81
Te 0.2838 0.7537 0.6206  1 Si 2.54, 1 Sc 2.81
Te 0.7162 0.2463 0.6206  1 Si 2.54, 1 Sc 2.81
Te 0.2463 0.7162 0.1206  1 Si 2.54, 1 Sc 2.81
Te 0.7537 0.2838 0.1206  1 Si 2.54, 1 Sc 2.81
Te 0.7537 0.7162 0.3794  1 Si 2.54, 1 Sc 2.81



Entry 2:
The following is a DFT calculation (PBE-GGA) of ScSiTe3 after structural relaxation.

Calculated values
* space group: Pm-3m, No. 221
* distance to the lowest polymorph of the same formula: 0.000 eV/atom

Unit cell a=5.2388 b=5.2388 c=5.2388 alpha=90.00 beta=90.00 gamma=90.00
Last column: nearest neighbours and their distance in Å.
Atoms (fractional coordinates):
Sc 0.5000 0.5000 0.5000  12 Te 3.70
Si 0.0000 0.0000 0.0000  6 Te 2.62
Te 0.0000 0.5000 0.0000  2 Si 2.62
Te 0.0000 0.0000 0.5000  2 Si 2.62
Te 0.5000 0.0000 0.0000  2 Si 2.62



Entry 3:
The following is a DFT calculation (PBE-GGA) of ScSi2Te6 after structural relaxation.

Calculated values
* space group: C2/c, No. 15

Unit cell a=7.0819 b=9.0850 c=9.0850 alpha=84.55 beta=82.53 gamma=82.53
Last column: nearest neighbours and their distance in Å.
Atoms (fractional coordinates):
Sc 0.2500 0.1035 0.8965  6 Te 2.89-2.98
Sc 0.7500 0.8965 0.1035  6 Te 2.89-2.98
Si 0.1748 0.6158 0.7725  4 Te 2.53-2.58
Si 0.3252 0.2275 0.3842  4 Te 2.53-2.58
Si 0.8252 0.3842 0.2275  4 Te 2.53-2.58
Si 0.6748 0.7725 0.6158  4 Te 2.53-2.58
Te 0.3578 0.7221 0.5306  2 Si 2.57-2.58
Te 0.1422 0.4694 0.2779  2 Si 2.57-2.58
Te 0.6422 0.2779 0.4694  2 Si 2.57-2.58
Te 0.8578 0.5306 0.7221  2 Si 2.57-2.58
Te 0.8866 0.8709 0.3918  1 Si 2.53
Te 0.6135 0.6082 0.1291  1 Si 2.53
Te 0.1134 0.1291 0.6082  1 Si 2.53
Te 0.3866 0.3918 0.8709  1 Si 2.53
Te 0.1432 0.7974 0.9773  1 Si 2.57
Te 0.3568 0.0227 0.2026  1 Si 2.57
Te 0.8568 0.2026 0.0227  1 Si 2.57
Te 0.6432 0.9773 0.7974  1 Si 2.57



Entry 4:
The following is a DFT calculation (PBE-GGA) of ScSiTe2 after structural relaxation.

Calculated values
* space group: Pmm2, No. 25

Unit cell a=4.1620 b=4.1942 c=5.8437 alpha=90.00 beta=90.00 gamma=90.00
Last column: nearest neighbours and their distance in Å.
Atoms (fractional coordinates):
Sc 0.0000 0.0000 0.3805  6 Te 2.91-2.95
Si 0.5000 0.5000 0.8617  6 Te 2.82-3.02
Te 0.0000 0.0000 0.8791  2 Sc 2.91-2.93, 4 Si 2.96
Te 0.5000 0.5000 0.3787  2 Si 2.82-3.02, 4 Sc 2.95



Entry 5:
The following is a DFT calculation (PBE-GGA) of ScSiTe3 after structural relaxation.

Calculated values
* space group: Pm-3m, No. 221
* distance to the lowest polymorph of the same formula: 0.099 eV/atom

Unit cell a=5.5052 b=5.5052 c=5.5052 alpha=90.00 beta=90.00 gamma=90.00
Last column: nearest neighbours and their distance in Å.
Atoms (fractional coordinates):
Sc 0.0000 0.0000 0.0000  6 Te 2.75
Si 0.5000 0.5000 0.5000  12 Te 3.89
Te 0.0000 0.5000 0.0000  2 Sc 2.75
Te 0.0000 0.0000 0.5000  2 Sc 2.75
Te 0.5000 0.0000 0.0000  2 Sc 2.75



Entry 6:
The following is a DFT calculation (PBE-GGA) of ScSi2Te after structural relaxation.

Calculated values
* space group: Amm2, No. 38

Unit cell a=5.7196 b=5.7196 c=3.8423 alpha=89.99 beta=89.99 gamma=41.37
Last column: nearest neighbours and their distance in Å.
Atoms (fractional coordinates):
Sc 0.2101 0.2101 0.3748  6 Si 2.88-2.91, 3 Te 3.04-3.07
Si 0.0090 0.0090 0.8753  1 Si 2.38
Si 0.7865 0.7865 0.8746  1 Si 2.38
Te 0.4944 0.4944 0.3753  4 Si 2.79, 3 Sc 3.04-3.07



Entry 7:
The following is a DFT calculation (PBE-GGA) of Sc2SiTe after structural relaxation.

Calculated values
* space group: F-43m, No. 216
* distance to the lowest polymorph of the same formula: 0.867 eV/atom

Unit cell a=4.9251 b=4.9251 c=4.9251 alpha=60.00 beta=60.00 gamma=60.00
Last column: nearest neighbours and their distance in Å.
Atoms (fractional coordinates):
Sc 0.0000 0.0000 0.0000  4 Sc 3.02, 4 Te 3.02
Sc 0.7500 0.7500 0.7500  4 Si 3.02, 4 Sc 3.02
Si 0.5000 0.5000 0.5000  4 Te 3.02, 4 Sc 3.02
Te 0.2500 0.2500 0.2500  4 Si 3.02, 4 Sc 3.02



Entry 8:
The following is a DFT calculation (PBE-GGA) of ScSi4Te after structural relaxation.

Calculated values
* space group: F-43m, No. 216

Unit cell a=5.2712 b=5.2712 c=5.2712 alpha=60.00 beta=60.00 gamma=60.00
Last column: nearest neighbours and their distance in Å.
Atoms (fractional coordinates):
Sc 0.0000 0.0000 0.0000  12 Si 3.09, 4 Te 3.23
Si 0.8747 0.3751 0.3751  6 Si 2.63-2.64
Si 0.3751 0.3751 0.8747  6 Si 2.63-2.64
Si 0.3751 0.8747 0.3751  6 Si 2.63-2.64
Si 0.3751 0.3751 0.3751  6 Si 2.63-2.64
Te 0.7500 0.7500 0.7500  12 Si 3.09, 4 Sc 3.23



Entry 9:
The following is a DFT calculation (PBE-GGA) of ScSiTe2 after structural relaxation.

Calculated values
* space group: R-3m, No. 166

Unit cell a=9.1123 b=9.1123 c=9.1123 alpha=24.68 beta=24.68 gamma=24.68
Last column: nearest neighbours and their distance in Å.
Atoms (fractional coordinates):
Sc 0.0000 0.0000 0.0000  2 Te 2.82
Si 0.5000 0.5000 0.5000  6 Te 2.76
Te 0.8937 0.8937 0.8937  3 Si 2.76, 1 Sc 2.82
Te 0.1063 0.1063 0.1063  3 Si 2.76, 1 Sc 2.82



Entry 10:
The following is a DFT calculation (PBE-GGA) of ScSiTe4 after structural relaxation.

Calculated values
* space group: F-43m, No. 216
* distance to the lowest polymorph of the same formula: 0.840 eV/atom

Unit cell a=6.2155 b=6.2155 c=6.2155 alpha=60.00 beta=60.00 gamma=60.00
Last column: nearest neighbours and their distance in Å.
Atoms (fractional coordinates):
Sc 0.7500 0.7500 0.7500  12 Te 3.64, 4 Si 3.81
Si 0.0000 0.0000 0.0000  12 Te 3.64, 4 Sc 3.81
Te 0.8747 0.3751 0.3751  6 Te 3.11
Te 0.3751 0.3751 0.8747  6 Te 3.11
Te 0.3751 0.8747 0.3751  6 Te 3.11
Te 0.3751 0.3751 0.3751  6 Te 3.11



What energy relative to the elements, uncorrected values result from the calculations? In sequence: -285; 116; -264; -413; 215; -197; -75; 41; 48; 555 meV per atom.